No. 1
# ScTe2Au

ScTe2Au at its PBEsol-relaxed geometry (meta-GGA SCAN, Alexandria via LeMat-Bulk).

## Properties
Total moment   0.000 μB per cell
Formation energy (no corrections)   -0.508 eV per atom
Energy   -39.982 eV/atom

abc: 4.0780 4.0780 10.9885
angles: 90.00 90.00 90.00
Closest atoms and distances in Å follow each position.
Space group I-4m2 (No. 119)
Asymmetric unit:
Sc 0.0000 0.0000 0.0000 [2 per cell]  4 Te 2.88
Te 0.0000 0.0000 0.5000 [2 per cell]  4 Sc 2.88
Te 0.0000 0.5000 0.2500 [2 per cell]  4 Au 2.88
Au 0.0000 0.5000 0.7500 [2 per cell]  4 Te 2.88

=====

No. 2
# ScTlAu2

ScTlAu2 at its PBEsol-relaxed geometry (meta-GGA SCAN, Alexandria via LeMat-Bulk).

## Properties
Energy relative to the elements   -0.455 eV/atom
Total moment   0.000 μB per cell
Energy   -56.682 eV/atom

abc: 3.4660 3.4660 6.5782
angles: 90.00 90.00 90.00
Closest atoms and distances in Å follow each position.
Space group P4mm (No. 99)
Asymmetric unit:
Sc 0.0000 0.0000 0.0000 [1 per cell]  5 Au 2.80-2.90
Tl 0.5000 0.5000 0.3057 [1 per cell]  5 Au 2.96-3.22, 4 Sc 3.17
Au 0.0000 0.0000 0.5588 [1 per cell]  1 Sc 2.90, 4 Au 2.90, 4 Tl 2.96
Au 0.5000 0.5000 0.7951 [1 per cell]  4 Sc 2.80, 4 Au 2.90

=====

No. 3
# ScTl2Au

ScTl2Au at its PBEsol-relaxed geometry (meta-GGA SCAN, Alexandria via LeMat-Bulk).

## Properties
Energy relative to the elements   -0.169 eV/atom
Total moment   0.000 μB per cell
Energy   -57.197 eV/atom

abc: 6.9812 6.9812 6.9812
angles: 90.00 90.00 90.00
Closest atoms and distances in Å follow each position.
Space group Fm-3m (No. 225)
Asymmetric unit:
Sc 0.0000 0.0000 0.0000 [4 per cell]  8 Tl 3.02
Tl 0.2500 0.2500 0.2500 [8 per cell]  4 Sc 3.02, 4 Au 3.02
Au 0.0000 0.0000 0.5000 [4 per cell]  8 Tl 3.02

=====

Please write out number 2 again, unchanged.
# ScTlAu2

ScTlAu2 at its PBEsol-relaxed geometry (meta-GGA SCAN, Alexandria via LeMat-Bulk).

## Properties
Energy relative to the elements   -0.455 eV/atom
Total moment   0.000 μB per cell
Energy   -56.682 eV/atom

abc: 3.4660 3.4660 6.5782
angles: 90.00 90.00 90.00
Closest atoms and distances in Å follow each position.
Space group P4mm (No. 99)
Asymmetric unit:
Sc 0.0000 0.0000 0.0000 [1 per cell]  5 Au 2.80-2.90
Tl 0.5000 0.5000 0.3057 [1 per cell]  5 Au 2.96-3.22, 4 Sc 3.17
Au 0.0000 0.0000 0.5588 [1 per cell]  1 Sc 2.90, 4 Au 2.90, 4 Tl 2.96
Au 0.5000 0.5000 0.7951 [1 per cell]  4 Sc 2.80, 4 Au 2.90